An optimized crystal structure of Ho2ZnPd3. Source: Alexandria via LeMat-Bulk, functional PBE.

Unit cell a=5.7026 b=5.7026 c=8.3912 alpha=104.52 beta=104.52 gamma=105.20
With the nearest neighbours (Å) after each atom.
Positions (direct):
Ho 0.7500 0.2500 0.5000  8 Pd 3.03-3.10, 4 Zn 3.12
Ho 0.7529 0.7529 0.0000  2 Zn 3.09, 10 Pd 3.10-3.20, 1 Ho 3.42
Ho 0.2500 0.7500 0.5000  8 Pd 3.03-3.10, 4 Zn 3.12
Pd 0.8295 0.8295 0.6589  1 Zn 2.49, 2 Pd 2.67
Pd 0.1724 0.6528 0.8252  1 Zn 2.49, 2 Pd 2.67
Pd 0.1705 0.1705 0.3411  1 Zn 2.49, 2 Pd 2.67
Pd 0.6528 0.1724 0.8252  1 Zn 2.49, 2 Pd 2.67
Pd 0.8276 0.3472 0.1748  1 Zn 2.49, 2 Pd 2.67
Zn 0.6668 0.6668 0.3335  3 Pd 2.49
Pd 0.3472 0.8276 0.1748  1 Zn 2.49, 2 Pd 2.67
Zn 0.3332 0.3332 0.6665  3 Pd 2.49
Ho 0.2471 0.2471 0.0000  2 Zn 3.09, 10 Pd 3.10-3.20, 1 Ho 3.42

Properties
Energy above the most stable polymorph in this dataset, meV/atom: 84

An optimized crystal structure of Ho4ZnPd7. Source: Alexandria via LeMat-Bulk, functional PBE.

Unit cell a=5.0880 b=9.3578 c=5.9245 alpha=80.26 beta=64.57 gamma=74.23
With the nearest neighbours (Å) after each atom.
Positions (direct):
Pd 0.3691 0.5174 0.7444  2 Pd 2.65-2.74, 5 Ho 2.78-2.97
Ho 0.4076 0.7871 0.3978  8 Pd 2.78-3.03
Pd 0.5000 0.0000 0.0000  2 Zn 2.54, 2 Ho 2.78
Ho 0.5924 0.2129 0.6022  8 Pd 2.78-3.03
Pd 0.2042 0.0891 0.5025  1 Zn 2.73, 4 Pd 2.79-3.01, 4 Ho 2.81-2.84
Pd 0.9180 0.2991 0.8649  2 Pd 2.74-2.79, 1 Zn 2.75, 3 Ho 3.03-3.05
Pd 0.7958 0.9109 0.4975  1 Zn 2.73, 4 Pd 2.79-3.01, 4 Ho 2.81-2.84
Ho 0.2118 0.3627 0.2138  5 Pd 2.78-3.05
Pd 0.6309 0.4826 0.2556  2 Pd 2.65-2.74, 5 Ho 2.78-2.97
Pd 0.0820 0.7009 0.1351  2 Pd 2.74-2.79, 1 Zn 2.75, 3 Ho 3.03-3.05
Ho 0.7882 0.6373 0.7862  5 Pd 2.78-3.05
Zn 0.0000 0.0000 0.0000  6 Pd 2.54-2.75

An optimized crystal structure of Ho8Zn2Pd. Source: Alexandria via LeMat-Bulk, functional PBE.

Unit cell a=5.0568 b=6.7325 c=9.1144 alpha=103.31 beta=106.11 gamma=90.00
With the nearest neighbours (Å) after each atom.
Positions (direct):
Ho 0.2024 0.3204 0.4048  1 Zn 2.84
Zn 0.1901 0.7332 0.3802  5 Ho 2.84-3.09
Ho 0.9726 0.2244 0.9452  1 Zn 2.93, 2 Pd 3.04
Pd 0.5000 0.0000 0.0000  8 Ho 2.87-3.06
Ho 0.3394 0.0324 0.6788  1 Pd 2.87, 3 Zn 2.89-3.09
Ho 0.0274 0.7756 0.0548  1 Zn 2.93, 2 Pd 3.04
Zn 0.8099 0.2668 0.6198  5 Ho 2.84-3.09
Ho 0.4090 0.5506 0.8181  1 Pd 3.06, 2 Zn 3.39, 6 Ho 3.39-3.43
Ho 0.6606 0.9676 0.3212  1 Pd 2.87, 3 Zn 2.89-3.09
Ho 0.5910 0.4494 0.1819  1 Pd 3.06, 2 Zn 3.39, 6 Ho 3.39-3.43
Ho 0.7976 0.6796 0.5952  1 Zn 2.84

no.,spin magnetization (μB per atom),E (eV per atom),DOS at the Fermi energy (states/eV per cell)
1,0.000,-5.082,5.1
2,0.000,-5.335,5.8
3,0.000,-4.281,10.0